This record from Alexandria via LeMat-Bulk describes a relaxed ThNb2Rh9 crystal. The functional is PBE.

Results
energy relative to the elements = -0.57 eV/atom
DOS at the Fermi energy = 9.24 states/eV/cell
crystal system = tetragonal

a = 3.9766 Å, b = 3.9766 Å, c = 11.9862 Å
α = 90.00°, β = 90.00°, γ = 90.00°
Last column: nearest neighbours and their distance in Å.
Fractional coordinates of all 12 atoms:
Th 0.0000 0.0000 0.0000  12 Rh 2.81-2.97
Nb 0.0000 0.0000 0.3369  12 Rh 2.71-2.81
Nb 0.0000 0.0000 0.6631  12 Rh 2.71-2.81
Rh 0.5000 0.5000 0.0000  4 Th 2.81, 8 Rh 2.97
Rh 0.5000 0.5000 0.3408  8 Rh 2.74-2.76, 4 Nb 2.81
Rh 0.5000 0.5000 0.6592  8 Rh 2.74-2.76, 4 Nb 2.81
Rh 0.5000 0.0000 0.1839  2 Nb 2.71, 8 Rh 2.74-2.97, 2 Th 2.97
Rh 0.5000 0.0000 0.5000  8 Rh 2.76-2.81, 4 Nb 2.79
Rh 0.5000 0.0000 0.8161  2 Nb 2.71, 8 Rh 2.74-2.97, 2 Th 2.97
Rh 0.0000 0.5000 0.1839  2 Nb 2.71, 8 Rh 2.74-2.97, 2 Th 2.97
Rh 0.0000 0.5000 0.5000  8 Rh 2.76-2.81, 4 Nb 2.79
Rh 0.0000 0.5000 0.8161  2 Nb 2.71, 8 Rh 2.74-2.97, 2 Th 2.97


This record from Alexandria via LeMat-Bulk describes a relaxed Th2NbRh9 crystal. The functional is PBE.

Results
energy relative to the elements = -0.64 eV/atom
DOS at the Fermi energy = 11.75 states/eV/cell
crystal system = tetragonal

a = 4.0560 Å, b = 4.0560 Å, c = 12.1912 Å
α = 90.00°, β = 90.00°, γ = 90.00°
Last column: nearest neighbours and their distance in Å.
Fractional coordinates of all 12 atoms:
Th 0.0000 0.0000 0.3290  12 Rh 2.87-2.98
Th 0.0000 0.0000 0.6710  12 Rh 2.87-2.98
Nb 0.0000 0.0000 0.0000  12 Rh 2.73-2.87
Rh 0.5000 0.5000 0.0000  8 Rh 2.73, 4 Nb 2.87
Rh 0.5000 0.5000 0.3241  4 Th 2.87, 8 Rh 2.93-2.95
Rh 0.5000 0.5000 0.6759  4 Th 2.87, 8 Rh 2.93-2.95
Rh 0.5000 0.0000 0.1502  2 Nb 2.73, 8 Rh 2.73-2.93, 2 Th 2.98
Rh 0.5000 0.0000 0.5000  8 Rh 2.87-2.95, 4 Th 2.91
Rh 0.5000 0.0000 0.8498  2 Nb 2.73, 8 Rh 2.73-2.93, 2 Th 2.98
Rh 0.0000 0.5000 0.1502  2 Nb 2.73, 8 Rh 2.73-2.93, 2 Th 2.98
Rh 0.0000 0.5000 0.5000  8 Rh 2.87-2.95, 4 Th 2.91
Rh 0.0000 0.5000 0.8498  2 Nb 2.73, 8 Rh 2.73-2.93, 2 Th 2.98


This record from Alexandria via LeMat-Bulk describes a relaxed ThNbRh crystal. The functional is PBE.

Results
energy relative to the elements = -0.16 eV/atom
DOS at the Fermi energy = 6.33 states/eV/cell
crystal system = orthorhombic

a = 4.7187 Å, b = 3.3477 Å, c = 11.4885 Å
α = 90.00°, β = 90.00°, γ = 134.81°
Last column: nearest neighbours and their distance in Å.
Fractional coordinates of all 6 atoms:
Rh 0.6942 0.3884 0.0000  8 Th 3.06-3.07, 4 Rh 3.35
Rh 0.1948 0.3895 0.5000  8 Nb 2.77-2.78
Nb 0.6944 0.3889 0.3739  4 Rh 2.77-2.78, 1 Nb 2.90
Nb 0.6944 0.3889 0.6261  4 Rh 2.77-2.78, 1 Nb 2.90
Th 0.1944 0.3888 0.8304  4 Rh 3.06-3.07, 4 Nb 3.33-3.34, 4 Th 3.35
Th 0.1944 0.3888 0.1696  4 Rh 3.06-3.07, 4 Nb 3.33-3.34, 4 Th 3.35


This record from Alexandria via LeMat-Bulk describes a relaxed TiNbRh3 crystal. The functional is PBE.

Results
energy relative to the elements = -0.35 eV/atom
DOS at the Fermi energy = 15.96 states/eV/cell
crystal system = orthorhombic

a = 7.0625 Å, b = 6.5484 Å, c = 6.9632 Å
α = 90.00°, β = 90.00°, γ = 90.00°
Last column: nearest neighbours and their distance in Å.
Fractional coordinates of all 20 atoms:
Ti 0.3465 0.5877 0.7500  8 Rh 2.57-2.85
Ti 0.1535 0.0877 0.2500  8 Rh 2.57-2.85
Ti 0.6535 0.4123 0.2500  8 Rh 2.57-2.85
Ti 0.8465 0.9123 0.7500  8 Rh 2.57-2.85
Nb 0.0000 0.5000 0.0000  6 Rh 2.60-2.67
Nb 0.5000 0.0000 0.5000  6 Rh 2.60-2.67
Nb 0.5000 0.0000 0.0000  6 Rh 2.60-2.67
Nb 0.0000 0.5000 0.5000  6 Rh 2.60-2.67
Rh 0.8495 0.1427 0.0548  3 Ti 2.57-2.62, 2 Nb 2.60-2.67, 3 Rh 2.72-2.81
Rh 0.6505 0.6427 0.5548  3 Ti 2.57-2.62, 2 Nb 2.60-2.67, 3 Rh 2.72-2.81
Rh 0.6505 0.6427 0.9452  3 Ti 2.57-2.62, 2 Nb 2.60-2.67, 3 Rh 2.72-2.81
Rh 0.1505 0.8573 0.5548  3 Ti 2.57-2.62, 2 Nb 2.60-2.67, 3 Rh 2.72-2.81
Rh 0.1505 0.8573 0.9452  3 Ti 2.57-2.62, 2 Nb 2.60-2.67, 3 Rh 2.72-2.81
Rh 0.3495 0.3573 0.4452  3 Ti 2.57-2.62, 2 Nb 2.60-2.67, 3 Rh 2.72-2.81
Rh 0.3495 0.3573 0.0548  3 Ti 2.57-2.62, 2 Nb 2.60-2.67, 3 Rh 2.72-2.81
Rh 0.8495 0.1427 0.4452  3 Ti 2.57-2.62, 2 Nb 2.60-2.67, 3 Rh 2.72-2.81
Rh 0.1223 0.2308 0.7500  2 Nb 2.62, 6 Rh 2.79-2.92, 2 Ti 2.82-2.85
Rh 0.3777 0.7308 0.2500  2 Nb 2.62, 6 Rh 2.79-2.92, 2 Ti 2.82-2.85
Rh 0.8777 0.7692 0.2500  2 Nb 2.62, 6 Rh 2.79-2.92, 2 Ti 2.82-2.85
Rh 0.6223 0.2692 0.7500  2 Nb 2.62, 6 Rh 2.79-2.92, 2 Ti 2.82-2.85


This record from Alexandria via LeMat-Bulk describes a relaxed Ti2NbRh5 crystal. The functional is PBE.

Results
energy relative to the elements = -0.65 eV/atom
DOS at the Fermi energy = 6.91 states/eV/cell
crystal system = orthorhombic

a = 4.1466 Å, b = 5.4602 Å, c = 10.6955 Å
α = 90.00°, β = 90.00°, γ = 90.00°
Last column: nearest neighbours and their distance in Å.
Fractional coordinates of all 16 atoms:
Ti 0.5000 0.3342 0.3535  9 Rh 2.59-2.83
Ti 0.5000 0.6658 0.6465  9 Rh 2.59-2.83
Ti 0.5000 0.1658 0.8535  9 Rh 2.59-2.83
Ti 0.5000 0.8342 0.1465  9 Rh 2.59-2.83
Nb 0.0000 0.0000 0.5000  8 Rh 2.60-2.73
Nb 0.0000 0.5000 0.0000  8 Rh 2.60-2.73
Rh 0.5000 0.3033 0.1087  3 Ti 2.59-2.83, 2 Nb 2.61, 4 Rh 2.88-2.90
Rh 0.5000 0.6967 0.8913  3 Ti 2.59-2.83, 2 Nb 2.61, 4 Rh 2.88-2.90
Rh 0.5000 0.8033 0.3913  3 Ti 2.59-2.83, 2 Nb 2.61, 4 Rh 2.88-2.90
Rh 0.5000 0.1967 0.6087  3 Ti 2.59-2.83, 2 Nb 2.61, 4 Rh 2.88-2.90
Rh 0.0000 0.9107 0.7389  1 Nb 2.60, 4 Ti 2.66-2.78, 5 Rh 2.74-2.88
Rh 0.0000 0.0893 0.2611  1 Nb 2.60, 4 Ti 2.66-2.78, 5 Rh 2.74-2.88
Rh 0.0000 0.4107 0.7611  1 Nb 2.60, 4 Ti 2.66-2.78, 5 Rh 2.74-2.88
Rh 0.0000 0.5893 0.2389  1 Nb 2.60, 4 Ti 2.66-2.78, 5 Rh 2.74-2.88
Rh 0.0000 0.5000 0.5000  2 Nb 2.73, 4 Ti 2.75, 6 Rh 2.83-2.90
Rh 0.0000 0.0000 0.0000  2 Nb 2.73, 4 Ti 2.75, 6 Rh 2.83-2.90


This record from Alexandria via LeMat-Bulk describes a relaxed TiNb2Rh crystal. The functional is PBE.

Results
energy relative to the elements = 0.17 eV/atom
DOS at the Fermi energy = 8.98 states/eV/cell
crystal system = tetragonal

a = 7.4024 Å, b = 7.4024 Å, c = 5.8618 Å
α = 50.85°, β = 50.85°, γ = 90.00°
Last column: nearest neighbours and their distance in Å.
Fractional coordinates of all 8 atoms:
Nb 0.6477 0.1250 0.2500  2 Rh 2.59, 2 Nb 2.66, 2 Ti 2.82
Nb 0.1023 0.6250 0.2500  2 Rh 2.59, 2 Nb 2.66, 2 Ti 2.82
Nb 0.3750 0.3523 0.7500  2 Rh 2.59, 2 Nb 2.66, 2 Ti 2.82
Nb 0.8750 0.8977 0.7500  2 Rh 2.59, 2 Nb 2.66, 2 Ti 2.82
Rh 0.0000 0.0000 0.0000  4 Nb 2.59, 2 Ti 2.64
Rh 0.7500 0.2500 0.5000  4 Nb 2.59, 2 Ti 2.64
Ti 0.5000 0.5000 0.0000  2 Rh 2.64, 4 Nb 2.82
Ti 0.2500 0.7500 0.5000  2 Rh 2.64, 4 Nb 2.82


This record from Alexandria via LeMat-Bulk describes a relaxed Ti2Nb2Rh3 crystal. The functional is PBE.

Results
energy relative to the elements = -0.50 eV/atom
DOS at the Fermi energy = 9.09 states/eV/cell
crystal system = monoclinic

a = 3.4753 Å, b = 2.9646 Å, c = 11.0388 Å
α = 82.30°, β = 80.94°, γ = 90.00°
Last column: nearest neighbours and their distance in Å.
Fractional coordinates of all 7 atoms:
Ti 0.5684 0.5693 0.8632  8 Rh 2.70-2.72, 3 Ti 2.95-2.96
Ti 0.4316 0.4307 0.1368  8 Rh 2.70-2.72, 3 Ti 2.95-2.96
Nb 0.7101 0.7094 0.5797  4 Rh 2.80, 6 Nb 2.86-2.96, 1 Ti 3.06
Nb 0.2899 0.2906 0.4203  4 Rh 2.80, 6 Nb 2.86-2.96, 1 Ti 3.06
Rh 0.8646 0.8654 0.2709  4 Ti 2.70-2.71, 4 Nb 2.80, 3 Rh 2.93-2.96
Rh 0.0000 0.0000 0.0000  8 Ti 2.72, 4 Rh 2.93-2.96
Rh 0.1354 0.1346 0.7291  4 Ti 2.70-2.71, 4 Nb 2.80, 3 Rh 2.93-2.96


This record from Alexandria via LeMat-Bulk describes a relaxed Ti6NbRh5 crystal. The functional is PBE.

Results
energy relative to the elements = -0.69 eV/atom
DOS at the Fermi energy = 6.85 states/eV/cell
crystal system = orthorhombic

a = 4.3797 Å, b = 6.3739 Å, c = 7.6071 Å
α = 114.76°, β = 106.74°, γ = 90.00°
Last column: nearest neighbours and their distance in Å.
Fractional coordinates of all 12 atoms:
Nb 0.0000 0.0000 0.0000  8 Ti 2.70
Rh 0.3295 0.8293 0.6585  8 Ti 2.67-2.74
Rh 0.6663 0.6660 0.3322  8 Ti 2.70-2.71
Rh 0.0000 0.5000 0.0000  8 Ti 2.70-2.71
Rh 0.3337 0.3340 0.6678  8 Ti 2.70-2.71
Rh 0.6705 0.1707 0.3415  8 Ti 2.67-2.74
Ti 0.1664 0.4156 0.3330  7 Rh 2.67-2.71, 1 Nb 2.70
Ti 0.1664 0.9175 0.3330  7 Rh 2.67-2.71, 1 Nb 2.70
Ti 0.5000 0.2488 0.0000  6 Rh 2.70-2.74, 2 Nb 2.70
Ti 0.5000 0.7512 0.0000  6 Rh 2.70-2.74, 2 Nb 2.70
Ti 0.8336 0.0825 0.6670  7 Rh 2.67-2.71, 1 Nb 2.70
Ti 0.8336 0.5844 0.6670  7 Rh 2.67-2.71, 1 Nb 2.70


This record from Alexandria via LeMat-Bulk describes a relaxed TiNb2Rh crystal. The functional is PBE.

Results
energy relative to the elements = -0.33 eV/atom
DOS at the Fermi energy = 2.76 states/eV/cell
crystal system = tetragonal

a = 3.2212 Å, b = 3.2212 Å, c = 6.4580 Å
α = 90.00°, β = 90.00°, γ = 90.00°
Last column: nearest neighbours and their distance in Å.
Fractional coordinates of all 4 atoms:
Ti 0.5000 0.5000 0.7457  4 Rh 2.76, 4 Nb 2.79
Nb 0.0000 0.0000 0.9957  4 Ti 2.79, 4 Nb 2.83
Nb 0.5000 0.5000 0.2545  4 Rh 2.79, 4 Nb 2.83
Rh 0.0000 0.0000 0.5041  4 Ti 2.76, 4 Nb 2.79


This record from Alexandria via LeMat-Bulk describes a relaxed TiNb2Rh crystal. The functional is PBE.

Results
energy relative to the elements = -0.24 eV/atom
DOS at the Fermi energy = 2.52 states/eV/cell
crystal system = tetragonal

a = 3.2090 Å, b = 3.2090 Å, c = 6.5048 Å
α = 90.00°, β = 90.00°, γ = 90.00°
Last column: nearest neighbours and their distance in Å.
Fractional coordinates of all 4 atoms:
Nb 0.0000 0.0000 0.7481  4 Rh 2.78, 4 Ti 2.80
Nb 0.0000 0.0000 0.2519  4 Rh 2.78, 4 Ti 2.80
Rh 0.5000 0.5000 0.5000  8 Nb 2.78
Ti 0.5000 0.5000 0.0000  8 Nb 2.80